(1)
Compound: RbBiP3
Source: Alexandria
Functional: GGA-PBE
Structure: relaxed

Cell: 5.3027 5.3027 5.3027 Å, 90.00 90.00 90.00°
With the nearest neighbours (Å) after each atom.
Element x y z (fractional)
1 Rb 0.0000 0.0000 0.0000  6 P 2.65
2 Bi 0.5000 0.5000 0.5000  12 P 3.75
3 P 0.0000 0.0000 0.5000  2 Rb 2.65
4 P 0.0000 0.5000 0.0000  2 Rb 2.65
5 P 0.5000 0.0000 0.0000  2 Rb 2.65

**Energy relative to the elements**: 9.53 eV/f.u.
**D(E_F)**: 1.06 states/eV/atom
**Energy above the most stable polymorph in this dataset**: 5.457 eV/f.u.

***

(2)
Compound: TeOs2Se
Source: Alexandria
Functional: GGA-PBE
Structure: relaxed

Cell: 4.5809 4.5809 4.5809 Å, 60.00 60.00 60.00°
With the nearest neighbours (Å) after each atom.
Element x y z (fractional)
1 Te 0.0000 0.0000 0.0000  8 Os 2.81
2 Os 0.2500 0.2500 0.2500  4 Se 2.81, 4 Te 2.81
3 Os 0.7500 0.7500 0.7500  4 Se 2.81, 4 Te 2.81
4 Se 0.5000 0.5000 0.5000  8 Os 2.81

**D(E_F)**: 0.90 states/eV/atom
**Energy above the most stable polymorph in this dataset**: 2.110 eV/f.u.
**ΔE_f (raw)**: 0.8978 eV per atom

***

(3)
Compound: Zn2TeAu
Source: Alexandria
Functional: GGA-PBE
Structure: relaxed

Cell: 5.1639 5.1639 5.1639 Å, 129.84 129.84 73.66°
With the nearest neighbours (Å) after each atom.
Element x y z (fractional)
1 Zn 0.2500 0.7500 0.5000  4 Te 3.01, 4 Au 3.01, 4 Zn 3.10
2 Zn 0.7500 0.2500 0.5000  4 Te 3.01, 4 Au 3.01, 4 Zn 3.10
3 Te 0.0000 0.0000 0.0000  8 Zn 3.01, 4 Au 3.10
4 Au 0.5000 0.5000 0.0000  8 Zn 3.01, 4 Te 3.10

**D(E_F)**: 0.27 states/eV/atom
**ΔE_f (raw)**: 0.1425 eV per atom

***

(4)
Compound: Rb4TlPb3Br12
Source: Alexandria
Functional: GGA-PBE
Structure: relaxed

Cell: 10.2881 10.2881 10.2881 Å, 109.47 109.47 109.47°
With the nearest neighbours (Å) after each atom.
Element x y z (fractional)
1 Rb 0.0000 0.0000 0.5000  12 Br 4.20
2 Rb 0.0000 0.5000 0.0000  12 Br 4.20
3 Rb 0.5000 0.0000 0.0000  12 Br 4.20
4 Rb 0.5000 0.5000 0.5000  12 Br 4.20
5 Tl 0.0000 0.0000 0.0000  6 Br 2.98
6 Pb 0.0000 0.5000 0.5000  6 Br 2.96-2.97
7 Pb 0.5000 0.0000 0.5000  6 Br 2.96-2.97
8 Pb 0.5000 0.5000 0.0000  6 Br 2.96-2.97
9 Br 0.0000 0.2512 0.2512  1 Pb 2.96, 1 Tl 2.98
10 Br 0.0000 0.7488 0.7488  1 Pb 2.96, 1 Tl 2.98
11 Br 0.2500 0.5000 0.7500  2 Pb 2.97
12 Br 0.2500 0.7500 0.5000  2 Pb 2.97
13 Br 0.2512 0.0000 0.2512  1 Pb 2.96, 1 Tl 2.98
14 Br 0.2512 0.2512 0.0000  1 Pb 2.96, 1 Tl 2.98
15 Br 0.5000 0.2500 0.7500  2 Pb 2.97
16 Br 0.5000 0.7500 0.2500  2 Pb 2.97
17 Br 0.7488 0.0000 0.7488  1 Pb 2.96, 1 Tl 2.98
18 Br 0.7488 0.7488 0.0000  1 Pb 2.96, 1 Tl 2.98
19 Br 0.7500 0.2500 0.5000  2 Pb 2.97
20 Br 0.7500 0.5000 0.2500  2 Pb 2.97

**D(E_F)**: 0.09 states/eV/atom
**ΔE_f (raw)**: -1.1771 eV per atom

***

- Which of these has the lowest D(E_F)?
  Rb4TlPb3Br12

***

Repeat the third record exactly.
Compound: Zn2TeAu
Source: Alexandria
Functional: GGA-PBE
Structure: relaxed

Cell: 5.1639 5.1639 5.1639 Å, 129.84 129.84 73.66°
With the nearest neighbours (Å) after each atom.
Element x y z (fractional)
1 Zn 0.2500 0.7500 0.5000  4 Te 3.01, 4 Au 3.01, 4 Zn 3.10
2 Zn 0.7500 0.2500 0.5000  4 Te 3.01, 4 Au 3.01, 4 Zn 3.10
3 Te 0.0000 0.0000 0.0000  8 Zn 3.01, 4 Au 3.10
4 Au 0.5000 0.5000 0.0000  8 Zn 3.01, 4 Te 3.10

**D(E_F)**: 0.27 states/eV/atom
**ΔE_f (raw)**: 0.1425 eV per atom

***

Copy entry 2 word for word.
Compound: TeOs2Se
Source: Alexandria
Functional: GGA-PBE
Structure: relaxed

Cell: 4.5809 4.5809 4.5809 Å, 60.00 60.00 60.00°
With the nearest neighbours (Å) after each atom.
Element x y z (fractional)
1 Te 0.0000 0.0000 0.0000  8 Os 2.81
2 Os 0.2500 0.2500 0.2500  4 Se 2.81, 4 Te 2.81
3 Os 0.7500 0.7500 0.7500  4 Se 2.81, 4 Te 2.81
4 Se 0.5000 0.5000 0.5000  8 Os 2.81

**D(E_F)**: 0.90 states/eV/atom
**Energy above the most stable polymorph in this dataset**: 2.110 eV/f.u.
**ΔE_f (raw)**: 0.8978 eV per atom